Run w
Compound: ScCrO2
Source: Alexandria
Functional: GGA+U
Structure: relaxed

## Properties
Density of states at the Fermi level: 0.351 states/eV per atom

Unit cell a=4.9146 b=4.9146 c=9.8055 alpha=90.00 beta=90.00 gamma=90.00
Space group I-42d (No. 122)
Symmetry-distinct sites (fractional):
Sc: 0.0000 0.0000 0.0000 x4
Cr: 0.0000 0.0000 0.5000 x4
O: 0.2087 0.2500 0.1250 x8

---

Run x
Compound: ScCrO2
Source: Alexandria
Functional: GGA+U
Structure: relaxed

## Properties
Density of states at the Fermi level: 0.129 states/eV per atom

Unit cell a=3.1990 b=3.1990 c=18.1678 alpha=90.00 beta=90.00 gamma=120.00
Space group R-3m (No. 166, hexagonal axes)
Symmetry-distinct sites (fractional):
Sc: 0.0000 0.0000 0.0000 x3
Cr: 0.0000 0.0000 0.5000 x3
O: 0.0000 0.0000 0.3906 x6

---

Referenced to the most stable arrangement, the calculated values in meV per atom are run w 229; run x 0.

---

Run w
Compound: CrSi4O10
Source: Alexandria
Functional: GGA+U
Structure: relaxed

## Properties
Density of states at the Fermi level: 0.297 states/eV per atom

Unit cell a=7.5720 b=7.5720 c=15.7881 alpha=90.00 beta=90.00 gamma=90.00
Space group P4/ncc (No. 130, origin choice 2)
Symmetry-distinct sites (fractional):
Cr: 0.2500 0.2500 0.0851 x4
Si: 0.0278 0.0586 0.3489 x16
O: 0.0027 0.2317 0.8680 x16
O: 0.0187 0.5187 0.2500 x8
O: 0.0543 0.1057 0.0920 x16

---

Run x
Compound: CrSi4O10
Source: Alexandria
Functional: GGA+U
Structure: relaxed

## Properties
Density of states at the Fermi level: 0.000 states/eV per atom

Unit cell a=7.1859 b=8.1960 c=9.6595 alpha=109.02 beta=102.37 gamma=108.43
Space group P-1 (No. 2)
Symmetry-distinct sites (fractional):
Cr: 0.2221 0.1785 0.0872 x2
Si: 0.0987 0.8982 0.2605 x2
Si: 0.2710 0.6031 0.2546 x2
Si: 0.3315 0.1201 0.7719 x2
Si: 0.4713 0.8004 0.6129 x2
O: 0.0681 0.9628 0.1121 x2
O: 0.1031 0.1106 0.6874 x2
O: 0.1054 0.6914 0.2060 x2
O: 0.1525 0.3765 0.1367 x2
O: 0.3192 0.0547 0.4005 x2
O: 0.3214 0.6380 0.4374 x2
O: 0.3428 0.9208 0.6813 x2
O: 0.3633 0.1563 0.9557 x2
O: 0.4510 0.2881 0.2709 x2
O: 0.4856 0.7009 0.2256 x2

---

Referenced to the most stable arrangement, the calculated values in meV per atom are run w 118; run x 0.